1.
{"formula": "CsTeF3", "functional": "PBE", "state": "optimized geometry", "e_form_raw_ev_per_atom": -2.076, "lattice": [[5.191, 0.000, 0.000], [0.004, 6.555, 0.000], [0.540, 3.271, 8.112]], "species": ["Cs", "Cs", "Te", "Te", "F", "F", "F", "F", "F", "F"], "fractional_positions": [[0.243, 0.349, 0.303], [0.757, 0.651, 0.697], [0.346, 0.095, 0.811], [0.654, 0.905, 0.189], [0.236, 0.945, 0.656], [0.237, 0.400, 0.655], [0.499, 0.766, 0.000], [0.501, 0.234, 0.000], [0.763, 0.600, 0.345], [0.764, 0.055, 0.344]]}


2.
{"formula": "SbAuCl2", "functional": "PBE", "state": "optimized geometry", "e_form_raw_ev_per_atom": 0.156, "lattice": [[-2.245, 2.245, 4.349], [2.245, -2.245, 4.349], [2.245, 2.245, -4.349]], "species": ["Sb", "Au", "Cl", "Cl"], "fractional_positions": [[0.000, 0.000, 0.000], [0.500, 0.500, 0.000], [0.250, 0.750, 0.500], [0.750, 0.250, 0.500]]}